Record 1
## La2ZnC (PBE)

Data for a geometry-optimized La2ZnC structure.

Calculated values
- total magnetization (μB per formula unit) = 0.00
- calculated volume (Å³/f.u.) = 108.4
- relative energy among the computed polymorphs (eV/atom) = 0.087
- density of states at the Fermi level (states/eV/atom) = 0.3361
- symmetry = No. 122
- energy (eV for the cell shown) = -40.5
- ΔH_f (0 K) (eV per formula unit) = 0.10

Cell: 7.266 7.266 6.578 Å, 56.48 56.48 90.00°
Positions (direct):
Zn: 0.000 0.000 0.000
Zn: 0.750 0.250 0.500
C: 0.500 0.500 0.000
C: 0.250 0.750 0.500
La: 0.550 0.125 0.250
La: 0.200 0.625 0.250
La: 0.375 0.450 0.750
La: 0.875 0.800 0.750

---

Record 2
## La2ZnC (PBE)

Data for a geometry-optimized La2ZnC structure.

Calculated values
- total magnetization (μB per formula unit) = 0.00
- calculated volume (Å³/f.u.) = 87.2
- relative energy among the computed polymorphs (eV/atom) = 0.463
- density of states at the Fermi level (states/eV/atom) = 1.0033
- symmetry = No. 225
- energy (eV for the cell shown) = -18.7
- ΔH_f (0 K) (eV per formula unit) = 1.61

Cell: 4.977 4.977 4.977 Å, 60.00 60.00 60.00°
Positions (direct):
Zn: 0.500 0.500 0.500
C: 0.000 0.000 0.000
La: 0.250 0.250 0.250
La: 0.750 0.750 0.750

---

Record 3
## La4ZnC (PBE)

Data for a geometry-optimized La4ZnC structure.

Calculated values
- total magnetization (μB per formula unit) = 0.00
- calculated volume (Å³/f.u.) = 177.7
- density of states at the Fermi level (states/eV/atom) = 1.2082
- symmetry = No. 15
- energy (eV for the cell shown) = -61.4
- ΔH_f (0 K) (eV per formula unit) = -0.49

Cell: 6.396 7.774 8.591 Å, 110.44 104.28 106.11°
Positions (direct):
La: 0.303 0.935 0.598
La: 0.008 0.824 0.093
La: 0.205 0.337 0.402
La: 0.415 0.731 0.907
La: 0.697 0.065 0.402
La: 0.795 0.663 0.598
La: 0.992 0.176 0.907
La: 0.585 0.269 0.093
Zn: 0.368 0.618 0.236
Zn: 0.632 0.382 0.764
C: 0.828 0.078 0.155
C: 0.172 0.922 0.845

---

Record 4
## La6Zn2C (PBE)

Data for a geometry-optimized La6Zn2C structure.

Calculated values
- total magnetization (μB per formula unit) = 0.00
- calculated volume (Å³/f.u.) = 268.4
- density of states at the Fermi level (states/eV/atom) = 0.9564
- symmetry = No. 14
- energy (eV for the cell shown) = -85.4
- ΔH_f (0 K) (eV per formula unit) = -1.39

Cell: 6.761 7.488 10.604 Å, 90.00 90.12 90.00°
Positions (direct):
La: 0.103 0.023 0.264
La: 0.182 0.298 0.540
La: 0.186 0.320 0.956
La: 0.314 0.820 0.544
La: 0.318 0.798 0.960
La: 0.397 0.523 0.236
La: 0.897 0.977 0.736
La: 0.818 0.702 0.460
La: 0.814 0.680 0.044
La: 0.686 0.180 0.456
La: 0.682 0.202 0.040
La: 0.603 0.477 0.764
Zn: 0.061 0.583 0.744
Zn: 0.439 0.083 0.756
Zn: 0.561 0.917 0.244
Zn: 0.939 0.417 0.256
C: 0.500 0.500 0.000
C: 0.000 0.000 0.500

---

Record 5
## LaZrC2 (PBE)

Data for a geometry-optimized LaZrC2 structure.

Calculated values
- total magnetization (μB per formula unit) = 0.00
- calculated volume (Å³/f.u.) = 59.6
- relative energy among the computed polymorphs (eV/atom) = 0.568
- density of states at the Fermi level (states/eV/atom) = 0.7562
- symmetry = No. 225
- energy (eV for the cell shown) = -29.2
- ΔH_f (0 K) (eV per formula unit) = 2.77

Cell: 4.384 4.384 4.384 Å, 60.00 60.00 60.00°
Positions (direct):
C: 0.250 0.250 0.250
C: 0.750 0.750 0.750
Zr: 0.000 0.000 0.000
La: 0.500 0.500 0.500

---

Record 6
## LaZr3C (PBE)

Data for a geometry-optimized LaZr3C structure.

Calculated values
- total magnetization (μB per formula unit) = 0.00
- calculated volume (Å³/f.u.) = 107.5
- relative energy among the computed polymorphs (eV/atom) = 0.000
- density of states at the Fermi level (states/eV/atom) = 1.6041
- symmetry = No. 221
- energy (eV for the cell shown) = -40.0
- ΔH_f (0 K) (eV per formula unit) = -0.17

Cell: 4.754 4.754 4.754 Å, 90.00 90.00 90.00°
Positions (direct):
C: 0.000 0.000 0.000
Zr: 0.000 0.500 0.000
Zr: 0.000 0.000 0.500
Zr: 0.500 0.000 0.000
La: 0.500 0.500 0.500

---

Record 7
## LaZrC2 (PBE)

Data for a geometry-optimized LaZrC2 structure.

Calculated values
- total magnetization (μB per formula unit) = 0.00
- calculated volume (Å³/f.u.) = 79.7
- relative energy among the computed polymorphs (eV/atom) = 0.000
- density of states at the Fermi level (states/eV/atom) = 0.5444
- symmetry = No. 122
- energy (eV for the cell shown) = -62.9
- ΔH_f (0 K) (eV per formula unit) = 0.50

Cell: 5.538 5.538 6.508 Å, 64.82 64.82 90.00°
Positions (direct):
C: 0.577 0.125 0.250
C: 0.173 0.625 0.250
C: 0.375 0.423 0.750
C: 0.875 0.827 0.750
Zr: 0.500 0.500 0.000
Zr: 0.250 0.750 0.500
La: 0.000 0.000 0.000
La: 0.750 0.250 0.500

---

Record 8
## LaZr3C (PBE)

Data for a geometry-optimized LaZr3C structure.

Calculated values
- total magnetization (μB per formula unit) = 0.00
- calculated volume (Å³/f.u.) = 131.9
- relative energy among the computed polymorphs (eV/atom) = 2.565
- density of states at the Fermi level (states/eV/atom) = 2.7614
- symmetry = No. 221
- energy (eV for the cell shown) = -27.1
- ΔH_f (0 K) (eV per formula unit) = 12.66

Cell: 5.090 5.090 5.090 Å, 90.00 90.00 90.00°
Positions (direct):
C: 0.500 0.500 0.500
Zr: 0.000 0.500 0.000
Zr: 0.000 0.000 0.500
Zr: 0.500 0.000 0.000
La: 0.000 0.000 0.000

---

Record 9
## LiC2 (PBE)

Data for a geometry-optimized LiC2 structure.

Calculated values
- total magnetization (μB per formula unit) = 0.00
- calculated volume (Å³/f.u.) = 23.6
- relative energy among the computed polymorphs (eV/atom) = 0.842
- density of states at the Fermi level (states/eV/atom) = 0.2740
- symmetry = No. 63
- energy (eV for the cell shown) = -34.7
- ΔH_f (0 K) (eV per formula unit) = 3.03

Cell: 7.196 7.196 2.535 Å, 90.00 90.00 158.92°
Positions (direct):
Li: 0.125 0.875 0.750
Li: 0.875 0.125 0.250
C: 0.488 0.512 0.750
C: 0.512 0.488 0.250
C: 0.749 0.251 0.750
C: 0.251 0.749 0.250

---

Record 10
## LiC2 (PBE)

Data for a geometry-optimized LiC2 structure.

Calculated values
- total magnetization (μB per formula unit) = 0.00
- calculated volume (Å³/f.u.) = 37.9
- relative energy among the computed polymorphs (eV/atom) = 0.472
- density of states at the Fermi level (states/eV/atom) = 0.2921
- symmetry = No. 191
- energy (eV for the cell shown) = -55.3
- ΔH_f (0 K) (eV per formula unit) = 1.92

Cell: 5.812 5.812 3.887 Å, 90.00 90.00 120.00°
Positions (direct):
Li: 0.000 0.000 0.000
Li: 0.333 0.667 0.500
Li: 0.667 0.333 0.500
C: 0.240 0.240 0.500
C: 0.760 0.000 0.500
C: 0.000 0.760 0.500
C: 0.000 0.240 0.500
C: 0.240 0.000 0.500
C: 0.760 0.760 0.500

---

Record 11
## LiC2 (PBE)

Data for a geometry-optimized LiC2 structure.

Calculated values
- total magnetization (μB per formula unit) = 0.00
- calculated volume (Å³/f.u.) = 27.6
- relative energy among the computed polymorphs (eV/atom) = 0.192
- density of states at the Fermi level (states/eV/atom) = 0.2039
- symmetry = No. 63
- energy (eV for the cell shown) = -38.6
- ΔH_f (0 K) (eV per formula unit) = 1.08

Cell: 4.340 4.340 5.118 Å, 90.00 90.00 145.13°
Positions (direct):
Li: 0.129 0.871 0.750
Li: 0.871 0.129 0.250
C: 0.857 0.143 0.750
C: 0.400 0.600 0.750
C: 0.143 0.857 0.250
C: 0.600 0.400 0.250

---

Record 12
## Li3C2 (PBE)

Data for a geometry-optimized Li3C2 structure.

Calculated values
- total magnetization (μB per formula unit) = 0.00
- calculated volume (Å³/f.u.) = 60.8
- relative energy among the computed polymorphs (eV/atom) = 0.047
- density of states at the Fermi level (states/eV/atom) = 0.2987
- symmetry = No. 43
- energy (eV for the cell shown) = -47.1
- ΔH_f (0 K) (eV per formula unit) = 0.64

Cell: 12.395 11.795 4.224 Å, 88.08 72.00 19.91°
Positions (direct):
C: 0.415 0.564 0.036
C: 0.985 0.036 0.564
C: 0.686 0.835 0.265
C: 0.214 0.265 0.835
Li: 0.275 0.388 0.714
Li: 0.623 0.714 0.388
Li: 0.862 0.975 0.627
Li: 0.536 0.627 0.975
Li: 0.701 0.299 0.299
Li: 0.951 0.549 0.549